Below is a relaxed LiAlAg crystal, with properties calculated at the PBEsol level.

Computed properties:
final energy	-9.96	eV for the cell shown
crystal system	trigonal
total magnetization	0.0	Bohr magnetons per cell
energy of formation	-0.20	eV/atom
space-group type	P3m1
energy relative to the lowest polymorph listed for this composition	0.02	eV per formula unit

abc: 4.3989 4.3989 2.7258
angles: 90.00 90.00 120.00
Fractional positions:
Li (0.0000, 0.0000, 0.0000)
Al (0.3333, 0.6667, 0.6429)
Ag (0.6667, 0.3333, 0.2874)